{"formula": "ReSnAuI2", "functional": "PBE", "state": "relaxed", "energy_ev_per_atom": -3.641, "spacegroup": "P4/mmm (123)", "formation_energy_uncorrected_kj_per_mol_atoms": 89.2, "cell": [[5.3524, 0.0000, 0.0000], [0.0000, 5.2554, 0.0000], [0.0000, 0.0000, 5.3524]], "species": ["Re", "Au", "Sn", "I", "I"], "fractional_positions": [[0.0000, 0.0000, 0.0000], [0.0000, 0.5000, 0.0000], [0.5000, 0.5000, 0.5000], [0.0000, 0.0000, 0.5000], [0.5000, 0.0000, 0.0000]]}